Material: Na4Cd2In5
Method: DFT, PBE
State: relaxed

Values from the calculation:
Calculated volume ... 26.3 Å³/atom
Crystal system ... monoclinic
DOS(E_F) ... 0.48 states/eV/atom
Space-group type ... P2/m (10)

a = 8.083 Å, b = 3.358 Å, c = 10.686 Å
α = 90.00°, β = 94.16°, γ = 90.00°
Element x y z (fractional)
1 Na 0.158 0.000 0.396
2 Na 0.292 0.000 0.947
3 Na 0.708 0.000 0.053
4 Na 0.842 0.000 0.604
5 Cd 0.056 0.500 0.137
6 Cd 0.944 0.500 0.863
7 In 0.205 0.500 0.672
8 In 0.427 0.500 0.212
9 In 0.500 0.500 0.500
10 In 0.573 0.500 0.788
11 In 0.795 0.500 0.328

=====

Material: FeP2Ir
Method: DFT, PBE
State: relaxed

Values from the calculation:
Calculated volume ... 15.4 Å³/atom
Crystal system ... orthorhombic
DOS(E_F) ... 0.79 states/eV/atom
Space-group type ... Cmm2 (35)

a = 2.719 Å, b = 2.719 Å, c = 9.492 Å
α = 90.00°, β = 90.00°, γ = 118.83°
Element x y z (fractional)
1 Fe 0.000 0.000 0.000
2 P 0.000 0.000 0.446
3 P 0.500 0.500 0.808
4 Ir 0.500 0.500 0.237

=====

Material: K6AgAu2
Method: DFT, PBE
State: relaxed

Values from the calculation:
Calculated volume ... 41.6 Å³/atom
Crystal system ... orthorhombic
DOS(E_F) ... 0.29 states/eV/atom
Space-group type ... Immm (71)

a = 9.938 Å, b = 9.938 Å, c = 9.938 Å
α = 113.10°, β = 112.31°, γ = 103.19°
Element x y z (fractional)
1 K 0.018 0.847 0.171
2 K 0.254 0.568 0.314
3 K 0.254 0.940 0.686
4 K 0.285 0.326 0.611
5 K 0.285 0.674 0.959
6 K 0.325 0.153 0.171
7 K 0.675 0.847 0.829
8 K 0.715 0.326 0.041
9 K 0.715 0.674 0.389
10 K 0.746 0.060 0.314
11 K 0.746 0.432 0.686
12 K 0.982 0.153 0.829
13 Ag 0.000 0.500 0.500
14 Ag 0.500 0.000 0.500
15 Au 0.000 0.219 0.219
16 Au 0.000 0.781 0.781
17 Au 0.381 0.381 0.000
18 Au 0.619 0.619 0.000

=====

Number 1: E -1.9840 eV/atom. Number 2: E -6.7935 eV/atom. Number 3: E -1.9185 eV/atom.